Run i
{"formula": "KSbPd3", "functional": "PBE", "state": "relaxed", "lattice": [[4.949, 0.000, 0.000], [0.000, 4.949, 0.000], [0.000, 0.000, 4.949]], "species": ["K", "Sb", "Pd", "Pd", "Pd"], "fractional_positions": [[0.000, 0.000, 0.000], [0.500, 0.500, 0.500], [0.000, 0.000, 0.500], [0.000, 0.500, 0.000], [0.500, 0.000, 0.000]], "m_tot_mub_per_cell": 0.0, "space_group": "No. 221"}

=====

Run ii
{"formula": "KSbPd3", "functional": "PBE", "state": "relaxed", "lattice": [[6.340, 0.000, 0.000], [-3.170, 5.491, 0.000], [0.000, 0.000, 6.659]], "species": ["K", "K", "Sb", "Sb", "Pd", "Pd", "Pd", "Pd", "Pd", "Pd"], "fractional_positions": [[0.333, 0.667, 0.250], [0.667, 0.333, 0.750], [0.000, 0.000, 0.000], [0.000, 0.000, 0.500], [0.188, 0.375, 0.750], [0.188, 0.812, 0.750], [0.375, 0.188, 0.250], [0.625, 0.812, 0.750], [0.812, 0.188, 0.250], [0.812, 0.625, 0.250]], "m_tot_mub_per_cell": 0.0, "space_group": "No. 194"}

=====

Run iii
{"formula": "KSbPd3", "functional": "PBE", "state": "relaxed", "lattice": [[5.079, 0.000, 0.000], [0.000, 5.079, 0.000], [0.000, 0.000, 5.079]], "species": ["K", "Sb", "Pd", "Pd", "Pd"], "fractional_positions": [[0.000, 0.000, 0.000], [0.500, 0.500, 0.500], [0.000, 0.500, 0.500], [0.500, 0.000, 0.500], [0.500, 0.500, 0.000]], "m_tot_mub_per_cell": 0.0, "space_group": "No. 221"}

=====

Which structure wins on stability? run ii wins.

=====

Run i
{"formula": "K3Sb4Pd4", "functional": "PBE", "state": "relaxed", "lattice": [[-2.345, 2.483, 12.938], [2.345, -2.483, 12.938], [2.345, 2.483, -12.938]], "species": ["K", "K", "K", "Sb", "Sb", "Sb", "Sb", "Pd", "Pd", "Pd", "Pd"], "fractional_positions": [[0.000, 0.000, 0.000], [0.147, 0.647, 0.500], [0.853, 0.353, 0.500], [0.297, 0.797, 0.500], [0.446, 0.446, 0.000], [0.554, 0.554, 0.000], [0.703, 0.203, 0.500], [0.246, 0.246, 0.000], [0.399, 0.899, 0.500], [0.601, 0.101, 0.500], [0.754, 0.754, 0.000]], "m_tot_mub_per_cell": 0.0, "space_group": "No. 71"}

=====

Run ii
{"formula": "K3Sb4Pd4", "functional": "PBE", "state": "relaxed", "lattice": [[-4.183, 4.183, 4.183], [4.183, -4.183, 4.183], [4.183, 4.183, -4.183]], "species": ["K", "K", "K", "Sb", "Sb", "Sb", "Sb", "Pd", "Pd", "Pd", "Pd"], "fractional_positions": [[0.000, 0.500, 0.500], [0.500, 0.000, 0.500], [0.500, 0.500, 0.000], [0.000, 0.000, 0.367], [0.000, 0.367, 0.000], [0.367, 0.000, 0.000], [0.633, 0.633, 0.633], [0.000, 0.000, 0.729], [0.000, 0.729, 0.000], [0.271, 0.271, 0.271], [0.729, 0.000, 0.000]], "m_tot_mub_per_cell": 0.0, "space_group": "No. 217"}

=====

Which structure wins on stability? run i wins.

=====

Run i
{"formula": "KSb2TePd", "functional": "PBE", "state": "relaxed", "lattice": [[5.789, 0.000, 0.000], [0.000, 5.789, 0.000], [0.000, 0.000, 5.836]], "species": ["K", "Sb", "Sb", "Te", "Pd"], "fractional_positions": [[0.000, 0.000, 0.000], [0.000, 0.500, 0.000], [0.500, 0.000, 0.000], [0.000, 0.000, 0.500], [0.500, 0.500, 0.500]], "m_tot_mub_per_cell": 0.5, "space_group": "No. 123"}

=====

Run ii
{"formula": "KSb2TePd", "functional": "PBE", "state": "relaxed", "lattice": [[5.246, 0.000, 0.000], [0.000, 5.246, 0.000], [0.000, 0.000, 5.807]], "species": ["K", "Sb", "Sb", "Te", "Pd"], "fractional_positions": [[0.000, 0.000, 0.000], [0.000, 0.500, 0.500], [0.500, 0.000, 0.500], [0.500, 0.500, 0.000], [0.500, 0.500, 0.500]], "m_tot_mub_per_cell": 0.0, "space_group": "No. 123"}

=====

Which structure wins on stability? run ii wins.

=====

Run i
{"formula": "KSbTe2Pd", "functional": "PBE", "state": "relaxed", "lattice": [[5.632, 0.000, 0.000], [0.000, 5.632, 0.000], [0.000, 0.000, 5.093]], "species": ["K", "Sb", "Te", "Te", "Pd"], "fractional_positions": [[0.000, 0.000, 0.000], [0.500, 0.500, 0.000], [0.000, 0.500, 0.500], [0.500, 0.000, 0.500], [0.500, 0.500, 0.500]], "m_tot_mub_per_cell": 0.0, "space_group": "No. 123"}

=====

Run ii
{"formula": "KSbTe2Pd", "functional": "PBE", "state": "relaxed", "lattice": [[5.910, 0.000, 0.000], [0.000, 5.910, 0.000], [0.000, 0.000, 5.813]], "species": ["K", "Sb", "Te", "Te", "Pd"], "fractional_positions": [[0.000, 0.000, 0.000], [0.000, 0.000, 0.500], [0.000, 0.500, 0.000], [0.500, 0.000, 0.000], [0.500, 0.500, 0.500]], "m_tot_mub_per_cell": 0.6, "space_group": "No. 123"}

=====

Which structure wins on stability? run i wins.

=====

Run i
{"formula": "KSc3Pd", "functional": "PBE", "state": "relaxed", "lattice": [[4.753, 0.000, 0.000], [0.000, 4.753, 0.000], [0.000, 0.000, 4.753]], "species": ["K", "Sc", "Sc", "Sc", "Pd"], "fractional_positions": [[0.000, 0.000, 0.000], [0.000, 0.000, 0.500], [0.000, 0.500, 0.000], [0.500, 0.000, 0.000], [0.500, 0.500, 0.500]], "m_tot_mub_per_cell": 0.0, "space_group": "No. 221"}

=====

Run ii
{"formula": "KSc3Pd", "functional": "PBE", "state": "relaxed", "lattice": [[5.269, 0.000, 0.000], [0.000, 5.269, 0.000], [0.000, 0.000, 5.269]], "species": ["K", "Sc", "Sc", "Sc", "Pd"], "fractional_positions": [[0.000, 0.000, 0.000], [0.000, 0.500, 0.500], [0.500, 0.000, 0.500], [0.500, 0.500, 0.000], [0.500, 0.500, 0.500]], "m_tot_mub_per_cell": 0.0, "space_group": "No. 221"}

=====

Which structure wins on stability? run ii wins.

=====

Run i
{"formula": "KSc2Pd", "functional": "PBE", "state": "relaxed", "lattice": [[-3.337, 3.337, 7.586], [3.337, -3.337, 7.586], [3.337, 3.337, -7.586]], "species": ["K", "K", "Sc", "Sc", "Sc", "Sc", "Pd", "Pd"], "fractional_positions": [[0.000, 0.000, 0.000], [0.750, 0.250, 0.500], [0.374, 0.125, 0.749], [0.375, 0.626, 0.751], [0.376, 0.625, 0.251], [0.875, 0.624, 0.249], [0.250, 0.750, 0.500], [0.500, 0.500, 0.000]], "m_tot_mub_per_cell": 0.6, "space_group": "No. 122"}

=====

Run ii
{"formula": "KSc2Pd", "functional": "PBE", "state": "relaxed", "lattice": [[0.000, 3.549, 3.549], [3.549, 0.000, 3.549], [3.549, 3.549, 0.000]], "species": ["K", "Sc", "Sc", "Pd"], "fractional_positions": [[0.000, 0.000, 0.000], [0.250, 0.250, 0.250], [0.750, 0.750, 0.750], [0.500, 0.500, 0.500]], "m_tot_mub_per_cell": 0.0, "space_group": "No. 225"}

=====

Run iii
{"formula": "KSc2Pd", "functional": "PBE", "state": "relaxed", "lattice": [[1.972, 1.138, 10.344], [-1.972, 1.138, 10.344], [0.000, -2.277, 10.344]], "species": ["K", "Sc", "Sc", "Pd"], "fractional_positions": [[0.000, 0.000, 0.000], [0.124, 0.124, 0.124], [0.876, 0.876, 0.876], [0.500, 0.500, 0.500]], "m_tot_mub_per_cell": 0.0, "space_group": "No. 166"}

=====

Which structure wins on stability? run iii wins.

=====

Run i
{"formula": "KPd4Se2", "functional": "PBE", "state": "relaxed", "lattice": [[8.374, 0.000, 0.000], [0.000, 8.374, 0.000], [0.000, 0.000, 3.844]], "species": ["K", "K", "Pd", "Pd", "Pd", "Pd", "Pd", "Pd", "Pd", "Pd", "Se", "Se", "Se", "Se"], "fractional_positions": [[0.000, 0.000, 0.000], [0.500, 0.500, 0.500], [0.094, 0.351, 0.500], [0.149, 0.594, 0.000], [0.351, 0.094, 0.500], [0.406, 0.851, 0.000], [0.594, 0.149, 0.000], [0.649, 0.906, 0.500], [0.851, 0.406, 0.000], [0.906, 0.649, 0.500], [0.220, 0.780, 0.500], [0.280, 0.280, 0.000], [0.720, 0.720, 0.000], [0.780, 0.220, 0.500]], "m_tot_mub_per_cell": 0.0, "space_group": "No. 136"}

=====

Run ii
{"formula": "KPd4Se2", "functional": "PBE", "state": "relaxed", "lattice": [[2.110, -8.294, 0.000], [2.110, 8.294, 0.000], [0.000, 0.000, 4.184]], "species": ["K", "Pd", "Pd", "Pd", "Pd", "Se", "Se"], "fractional_positions": [[0.000, 0.000, 0.000], [0.193, 0.807, 0.500], [0.309, 0.691, 0.000], [0.691, 0.309, 0.000], [0.807, 0.193, 0.500], [0.389, 0.611, 0.500], [0.611, 0.389, 0.500]], "m_tot_mub_per_cell": 0.0, "space_group": "No. 65"}

=====

Which structure wins on stability? run ii wins.

=====

Run i
{"formula": "KSi3Pd", "functional": "PBE", "state": "relaxed", "lattice": [[4.878, 0.000, 0.000], [0.000, 4.878, 0.000], [0.000, 0.000, 4.878]], "species": ["K", "Si", "Si", "Si", "Pd"], "fractional_positions": [[0.000, 0.000, 0.000], [0.000, 0.500, 0.500], [0.500, 0.000, 0.500], [0.500, 0.500, 0.000], [0.500, 0.500, 0.500]], "m_tot_mub_per_cell": 0.0, "space_group": "No. 221"}

=====

Run ii
{"formula": "KSi3Pd", "functional": "PBE", "state": "relaxed", "lattice": [[5.159, 0.000, 0.000], [0.000, 5.159, 0.000], [0.000, 0.000, 5.159]], "species": ["K", "Si", "Si", "Si", "Pd"], "fractional_positions": [[0.000, 0.000, 0.000], [0.000, 0.000, 0.500], [0.000, 0.500, 0.000], [0.500, 0.000, 0.000], [0.500, 0.500, 0.500]], "m_tot_mub_per_cell": 0.0, "space_group": "No. 221"}

=====

Which structure wins on stability? run i wins.

=====

Run i
{"formula": "K2SiPd2", "functional": "PBE", "state": "relaxed", "lattice": [[6.389, 0.000, 0.000], [0.000, 6.389, 0.000], [0.000, 0.000, 5.647]], "species": ["K", "K", "K", "K", "Si", "Si", "Pd", "Pd", "Pd", "Pd"], "fractional_positions": [[0.177, 0.323, 0.000], [0.323, 0.823, 0.000], [0.677, 0.177, 0.000], [0.823, 0.677, 0.000], [0.000, 0.000, 0.500], [0.500, 0.500, 0.500], [0.156, 0.656, 0.500], [0.344, 0.156, 0.500], [0.656, 0.844, 0.500], [0.844, 0.344, 0.500]], "m_tot_mub_per_cell": 0.0, "space_group": "No. 127"}

=====

Run ii
{"formula": "K2SiPd2", "functional": "PBE", "state": "relaxed", "lattice": [[-2.049, 2.049, 7.144], [2.049, -2.049, 7.144], [2.049, 2.049, -7.144]], "species": ["K", "K", "Si", "Pd", "Pd"], "fractional_positions": [[0.250, 0.750, 0.500], [0.750, 0.250, 0.500], [0.000, 0.000, 0.000], [0.412, 0.412, 0.000], [0.588, 0.588, 0.000]], "m_tot_mub_per_cell": 0.0, "space_group": "No. 139"}

=====

Which structure wins on stability? run i wins.

=====

Run i
{"formula": "KSiPd", "functional": "PBE", "state": "relaxed", "lattice": [[4.068, 0.000, 0.000], [-2.034, 3.523, 0.000], [0.000, 0.000, 5.523]], "species": ["K", "Si", "Pd"], "fractional_positions": [[0.000, 0.000, 0.000], [0.667, 0.333, 0.500], [0.333, 0.667, 0.500]], "m_tot_mub_per_cell": 0.0, "space_group": "No. 187"}

=====

Run ii
{"formula": "KSiPd", "functional": "PBE", "state": "relaxed", "lattice": [[-1.581, 3.059, 7.073], [1.581, -3.059, 7.073], [1.581, 3.059, -7.073]], "species": ["K", "K", "Si", "Si", "Pd", "Pd"], "fractional_positions": [[0.186, 0.186, 0.000], [0.814, 0.814, 0.000], [0.408, 0.908, 0.500], [0.592, 0.092, 0.500], [0.261, 0.500, 0.761], [0.739, 0.500, 0.239]], "m_tot_mub_per_cell": 0.0, "space_group": "No. 71"}

=====

Run iii
{"formula": "KSiPd", "functional": "PBE", "state": "relaxed", "lattice": [[4.289, 0.000, 0.000], [-2.137, 6.201, 0.000], [-2.132, -2.297, 5.873]], "species": ["K", "K", "Si", "Si", "Pd", "Pd"], "fractional_positions": [[0.202, 0.102, 0.299], [0.798, 0.898, 0.701], [0.351, 0.569, 0.128], [0.649, 0.431, 0.872], [0.095, 0.471, 0.723], [0.905, 0.529, 0.277]], "m_tot_mub_per_cell": 0.0, "space_group": "No. 2"}

=====

Which structure wins on stability? run i wins.

=====

Run i
{"formula": "KSiPd3", "functional": "PBE", "state": "relaxed", "lattice": [[4.915, 0.000, 0.000], [0.000, 4.915, 0.000], [0.000, 0.000, 4.915]], "species": ["K", "Si", "Pd", "Pd", "Pd"], "fractional_positions": [[0.000, 0.000, 0.000], [0.500, 0.500, 0.500], [0.000, 0.000, 0.500], [0.000, 0.500, 0.000], [0.500, 0.000, 0.000]], "m_tot_mub_per_cell": 0.0, "space_group": "No. 221"}

=====

Run ii
{"formula": "KSiPd3", "functional": "PBE", "state": "relaxed", "lattice": [[4.690, 0.000, 0.000], [0.000, 4.690, 0.000], [0.000, 0.000, 4.690]], "species": ["K", "Si", "Pd", "Pd", "Pd"], "fractional_positions": [[0.000, 0.000, 0.000], [0.500, 0.500, 0.500], [0.000, 0.500, 0.500], [0.500, 0.000, 0.500], [0.500, 0.500, 0.000]], "m_tot_mub_per_cell": 0.0, "space_group": "No. 221"}

=====

Which structure wins on stability? run ii wins.